Entry 1:
VASP calculation (PBE) on a relaxed Ac4Pm5Y crystal.

Results
The volume is 38.19 Å³ per atom. The total energy comes out at -4.626 eV/atom. For the density of states at the Fermi level, the calculation gives 17.4 states/eV/cell. The formation energy is 0.04 eV per atom.

a = 3.831 Å, b = 3.831 Å, c = 26.022 Å
α = 90.00°, β = 90.00°, γ = 90.00°
Space group P4/mmm (No. 123)
Inequivalent atoms, fractional coordinates:
Ac 0.000 0.000 0.102 x2
Ac 0.000 0.000 0.305 x2
Pm 0.500 0.500 0.000 x1
Pm 0.500 0.500 0.203 x2
Pm 0.500 0.500 0.408 x2
Y 0.000 0.000 0.500 x1


Entry 2:
VASP calculation (PBE) on a relaxed Ac3Pm5Y crystal.

Results
The volume is 40.61 Å³ per atom. The total energy comes out at -4.259 eV/atom. For the density of states at the Fermi level, the calculation gives 57.0 states/eV/cell. The formation energy is 0.47 eV per atom.

a = 13.836 Å, b = 8.434 Å, c = 12.604 Å
α = 90.00°, β = 96.27°, γ = 90.00°
Space group C2/m (No. 12)
Inequivalent atoms, fractional coordinates:
Ac 0.000 0.000 0.000 x2
Ac 0.000 0.000 0.500 x2
Ac 0.154 0.500 0.216 x4
Ac 0.225 0.500 0.499 x4
Pm 0.000 0.336 0.000 x4
Pm 0.024 0.500 0.636 x4
Pm 0.123 0.202 0.770 x8
Pm 0.249 0.500 0.970 x4
Y 0.122 0.000 0.255 x4


Entry 3:
VASP calculation (PBE) on a relaxed Ac6Pm7Y16 crystal.

Results
The volume is 37.62 Å³ per atom. The total energy comes out at -5.352 eV/atom. For the density of states at the Fermi level, the calculation gives 182.4 states/eV/cell. The formation energy is 0.21 eV per atom.

a = 16.341 Å, b = 16.341 Å, c = 16.341 Å
α = 90.00°, β = 90.00°, γ = 90.00°
Space group Fm-3m (No. 225)
Inequivalent atoms, fractional coordinates:
Ac 0.000 0.000 0.244 x24
Pm 0.000 0.000 0.500 x4
Pm 0.000 0.250 0.250 x24
Y 0.131 0.131 0.369 x32
Y 0.156 0.156 0.156 x32


Entry 4:
VASP calculation (PBE) on a relaxed Ac12Pm7Y crystal.

Results
The volume is 41.91 Å³ per atom. The total energy comes out at -4.261 eV/atom. For the density of states at the Fermi level, the calculation gives 84.6 states/eV/cell. The formation energy is 0.19 eV per atom.

a = 20.8400 Å, b = 20.8400 Å, c = 6.6862 Å
α = 90.00°, β = 90.00°, γ = 120.00°
Space group R-3m (No. 166, hexagonal axes)
Inequivalent atoms, fractional coordinates:
Ac 0.0000 0.4125 0.0000 x18
Ac 0.1029 0.5514 0.4822 x18
Pm 0.0000 0.0000 0.0000 x3
Pm 0.0810 0.1621 0.3108 x18
Y 0.0000 0.0000 0.5000 x3


Entry 5:
VASP calculation (PBE) on a relaxed Ac9PmY2 crystal.

Results
The volume is 41.73 Å³ per atom. The total energy comes out at -4.528 eV/atom. For the density of states at the Fermi level, the calculation gives 17.7 states/eV/cell. The formation energy is 0.03 eV per atom.

a = 5.505 Å, b = 5.505 Å, c = 16.525 Å
α = 90.00°, β = 90.00°, γ = 90.00°
Space group P4/mmm (No. 123)
Inequivalent atoms, fractional coordinates:
Ac 0.000 0.000 0.000 x1
Ac 0.000 0.000 0.334 x2
Ac 0.000 0.500 0.168 x4
Ac 0.000 0.500 0.500 x2
Pm 0.500 0.500 0.000 x1
Y 0.500 0.500 0.334 x2


Entry 6:
VASP calculation (PBE) on a relaxed Ac3Pm7Y2 crystal.

Results
The volume is 38.64 Å³ per atom. The total energy comes out at -4.653 eV/atom. For the density of states at the Fermi level, the calculation gives 18.4 states/eV/cell. The formation energy is 0.22 eV per atom.

a = 3.788 Å, b = 5.843 Å, c = 21.036 Å
α = 90.00°, β = 95.16°, γ = 90.00°
Space group P2/m (No. 10)
Inequivalent atoms, fractional coordinates:
Ac 0.000 0.000 0.000 x1
Ac 0.325 0.500 0.649 x2
Pm 0.087 0.500 0.174 x2
Pm 0.218 0.000 0.435 x2
Pm 0.429 0.000 0.859 x2
Pm 0.500 0.500 0.000 x1
Y 0.139 0.000 0.278 x2


Entry 7:
VASP calculation (PBE) on a relaxed Ac2PmY crystal.

Results
The volume is 38.74 Å³ per atom. The total energy comes out at -4.808 eV/atom. For the density of states at the Fermi level, the calculation gives 18.7 states/eV/cell. Its excess energy over the best structure of this formula in the dataset is 1.6 kJ per mole of atoms. The formation energy is 0.05 eV per atom.

a = 3.8307 Å, b = 3.8307 Å, c = 36.5830 Å
α = 90.00°, β = 90.00°, γ = 120.00°
Space group R3m (No. 160, hexagonal axes)
Inequivalent atoms, fractional coordinates:
Ac 0.0000 0.0000 0.0000 x3
Ac 0.0000 0.0000 0.1680 x3
Pm 0.0000 0.0000 0.4163 x3
Y 0.0000 0.0000 0.5849 x3


Entry 8:
VASP calculation (PBE) on a relaxed Ac2Pm6Y crystal.

Results
The volume is 37.15 Å³ per atom. The total energy comes out at -4.667 eV/atom. For the density of states at the Fermi level, the calculation gives 30.6 states/eV/cell. Its excess energy over the best structure of this formula in the dataset is 4.2 kJ per mole of atoms. The formation energy is 0.13 eV per atom.

a = 5.999 Å, b = 7.107 Å, c = 15.687 Å
α = 90.00°, β = 90.00°, γ = 90.00°
Space group Immm (No. 71)
Inequivalent atoms, fractional coordinates:
Ac 0.000 0.000 0.141 x4
Pm 0.000 0.226 0.392 x8
Pm 0.000 0.500 0.212 x4
Y 0.000 0.500 0.000 x2


Entry 9:
VASP calculation (PBE) on a relaxed AcPm2Y crystal.

Results
The volume is 36.17 Å³ per atom. The total energy comes out at -4.985 eV/atom. For the density of states at the Fermi level, the calculation gives 6.6 states/eV/cell. Its excess energy over the best structure of this formula in the dataset is 0.0 kJ per mole of atoms. The formation energy is 0.03 eV per atom.

a = 5.232 Å, b = 5.232 Å, c = 5.286 Å
α = 90.00°, β = 90.00°, γ = 90.00°
Space group P4/mmm (No. 123)
Inequivalent atoms, fractional coordinates:
Ac 0.000 0.000 0.000 x1
Pm 0.000 0.500 0.500 x2
Y 0.500 0.500 0.000 x1


Entry 10:
VASP calculation (PBE) on a relaxed Ac2Pm12Y5 crystal.

Results
The volume is 34.79 Å³ per atom. The total energy comes out at -5.110 eV/atom. For the density of states at the Fermi level, the calculation gives 27.1 states/eV/cell. Its excess energy over the best structure of this formula in the dataset is 0.0 kJ per mole of atoms. The formation energy is 0.02 eV per atom.

a = 6.320 Å, b = 9.728 Å, c = 10.999 Å
α = 100.88°, β = 95.30°, γ = 90.03°
Space group P-1 (No. 2)
Inequivalent atoms, fractional coordinates:
Ac 0.105 0.418 0.135 x2
Pm 0.054 0.208 0.813 x2
Pm 0.158 0.634 0.451 x2
Pm 0.262 0.049 0.079 x2
Pm 0.317 0.260 0.397 x2
Pm 0.424 0.689 0.030 x2
Pm 0.472 0.896 0.344 x2
Y 0.000 0.000 0.500 x1
Y 0.216 0.846 0.761 x2
Y 0.369 0.472 0.706 x2


Entry 11:
VASP calculation (PBE) on a relaxed Ac6Pm4Y crystal.

Results
The volume is 41.39 Å³ per atom. The total energy comes out at -4.266 eV/atom. For the density of states at the Fermi level, the calculation gives 34.8 states/eV/cell. The formation energy is 0.29 eV per atom.

a = 7.292 Å, b = 7.292 Å, c = 17.122 Å
α = 90.00°, β = 90.00°, γ = 90.00°
Space group I-42m (No. 121)
Inequivalent atoms, fractional coordinates:
Ac 0.000 0.500 0.000 x4
Ac 0.191 0.191 0.182 x8
Pm 0.163 0.163 0.394 x8
Y 0.000 0.000 0.000 x2


Entry 12:
VASP calculation (PBE) on a relaxed Ac4Pm2Y crystal.

Results
The volume is 42.28 Å³ per atom. The total energy comes out at -4.466 eV/atom. For the density of states at the Fermi level, the calculation gives 18.2 states/eV/cell. The formation energy is 0.16 eV per atom.

a = 9.176 Å, b = 11.519 Å, c = 5.600 Å
α = 90.00°, β = 90.00°, γ = 90.00°
Space group Cmmm (No. 65)
Inequivalent atoms, fractional coordinates:
Ac 0.205 0.000 0.000 x4
Ac 0.250 0.250 0.500 x4
Pm 0.000 0.295 0.000 x4
Y 0.000 0.500 0.500 x2


Entry 13:
VASP calculation (PBE) on a relaxed Ac5Pm2Y2 crystal.

Results
The volume is 40.21 Å³ per atom. The total energy comes out at -4.667 eV/atom. For the density of states at the Fermi level, the calculation gives 28.2 states/eV/cell. The formation energy is 0.11 eV per atom.

a = 17.624 Å, b = 5.937 Å, c = 7.362 Å
α = 90.00°, β = 110.02°, γ = 90.00°
Space group C2/m (No. 12)
Inequivalent atoms, fractional coordinates:
Ac 0.000 0.000 0.000 x2
Ac 0.081 0.500 0.384 x4
Ac 0.149 0.000 0.718 x4
Pm 0.135 0.500 0.963 x4
Y 0.214 0.000 0.282 x4


Entry 14:
VASP calculation (PBE) on a relaxed AcPmY2 crystal.

Results
The volume is 35.75 Å³ per atom. The total energy comes out at -5.378 eV/atom. For the density of states at the Fermi level, the calculation gives 22.5 states/eV/cell. Its excess energy over the best structure of this formula in the dataset is 3.1 kJ per mole of atoms. The formation energy is 0.07 eV per atom.

a = 7.533 Å, b = 6.304 Å, c = 12.602 Å
α = 90.00°, β = 107.08°, γ = 90.00°
Space group P2/c (No. 13)
Inequivalent atoms, fractional coordinates:
Ac 0.194 0.170 0.379 x4
Pm 0.066 0.334 0.624 x4
Y 0.315 0.170 0.118 x4
Y 0.442 0.333 0.876 x4


Entry 15:
VASP calculation (PBE) on a relaxed Ac6PmY4 crystal.

Results
The volume is 41.66 Å³ per atom. The total energy comes out at -4.695 eV/atom. For the density of states at the Fermi level, the calculation gives 34.0 states/eV/cell. The formation energy is 0.33 eV per atom.

a = 7.000 Å, b = 7.000 Å, c = 18.702 Å
α = 90.00°, β = 90.00°, γ = 90.00°
Space group I-42m (No. 121)
Inequivalent atoms, fractional coordinates:
Ac 0.000 0.500 0.000 x4
Ac 0.182 0.182 0.148 x8
Pm 0.000 0.000 0.500 x2
Y 0.180 0.180 0.336 x8


Entry 16:
VASP calculation (PBE) on a relaxed AcPm3Y7 crystal.

Results
The volume is 35.17 Å³ per atom. The total energy comes out at -5.502 eV/atom. For the density of states at the Fermi level, the calculation gives 33.2 states/eV/cell. Its excess energy over the best structure of this formula in the dataset is 13.5 kJ per mole of atoms. The formation energy is 0.28 eV per atom.

a = 6.038 Å, b = 11.298 Å, c = 11.342 Å
α = 90.00°, β = 90.00°, γ = 90.00°
Space group Immm (No. 71)
Inequivalent atoms, fractional coordinates:
Ac 0.000 0.000 0.000 x2
Pm 0.000 0.215 0.500 x4
Pm 0.000 0.500 0.000 x2
Y 0.000 0.000 0.307 x4
Y 0.000 0.309 0.213 x8
Y 0.000 0.500 0.500 x2


Entry 17:
VASP calculation (PBE) on a relaxed AcPmY2 crystal.

Results
The volume is 35.48 Å³ per atom. The total energy comes out at -5.410 eV/atom. For the density of states at the Fermi level, the calculation gives 14.1 states/eV/cell. Its excess energy over the best structure of this formula in the dataset is 0.0 kJ per mole of atoms. The formation energy is 0.04 eV per atom.

a = 3.7239 Å, b = 3.7239 Å, c = 35.4489 Å
α = 90.00°, β = 90.00°, γ = 120.00°
Space group R-3m (No. 166, hexagonal axes)
Inequivalent atoms, fractional coordinates:
Ac 0.0000 0.0000 0.0000 x3
Pm 0.0000 0.0000 0.5000 x3
Y 0.0000 0.0000 0.2478 x6


Entry 18:
VASP calculation (PBE) on a relaxed AcPm6Y4 crystal.

Results
The volume is 34.77 Å³ per atom. The total energy comes out at -5.191 eV/atom. For the density of states at the Fermi level, the calculation gives 81.4 states/eV/cell. Its excess energy over the best structure of this formula in the dataset is 0.0 kJ per mole of atoms. The formation energy is 0.12 eV per atom.

a = 5.972 Å, b = 9.850 Å, c = 26.012 Å
α = 90.00°, β = 90.00°, γ = 90.00°
Space group Cmcm (No. 63)
Inequivalent atoms, fractional coordinates:
Ac 0.000 0.216 0.250 x4
Pm 0.000 0.120 0.680 x8
Pm 0.000 0.200 0.097 x8
Pm 0.000 0.442 0.750 x4
Pm 0.000 0.500 0.000 x4
Y 0.000 0.150 0.543 x8
Y 0.000 0.456 0.624 x8


Entry 19:
VASP calculation (PBE) on a relaxed Ac3Pm4Y2 crystal.

Results
The volume is 37.65 Å³ per atom. The total energy comes out at -4.809 eV/atom. For the density of states at the Fermi level, the calculation gives 28.9 states/eV/cell. The formation energy is 0.11 eV per atom.

a = 12.324 Å, b = 5.900 Å, c = 9.629 Å
α = 90.00°, β = 104.51°, γ = 90.00°
Space group C2/m (No. 12)
Inequivalent atoms, fractional coordinates:
Ac 0.000 0.000 0.000 x2
Ac 0.114 0.000 0.681 x4
Pm 0.183 0.500 0.953 x4
Pm 0.232 0.000 0.377 x4
Y 0.070 0.500 0.287 x4


Entry 20:
VASP calculation (PBE) on a relaxed AcPm3Y4 crystal.

Results
The volume is 34.75 Å³ per atom. The total energy comes out at -5.377 eV/atom. For the density of states at the Fermi level, the calculation gives 27.8 states/eV/cell. Its excess energy over the best structure of this formula in the dataset is 11.3 kJ per mole of atoms. The formation energy is 0.15 eV per atom.

a = 3.510 Å, b = 11.864 Å, c = 13.351 Å
α = 90.00°, β = 90.00°, γ = 90.00°
Space group Immm (No. 71)
Inequivalent atoms, fractional coordinates:
Ac 0.000 0.000 0.000 x2
Pm 0.000 0.000 0.500 x2
Pm 0.000 0.500 0.257 x4
Y 0.000 0.254 0.136 x8